First-principles (PBE-GGA) data for an optimized crystal structure of DyCoSi2, as listed in Alexandria.

Calculated values
DOS at the Fermi energy   0.511 states/eV per atom
Uncorrected formation energy   -767.9 meV per atom
Total magnetic moment   0.00 μB per formula unit

abc: 3.886 3.886 14.935
angles: 90.00 90.00 120.00
Fractional coordinates of all 12 atoms:
Dy (0.000, 0.000, 0.000)
Dy (0.333, 0.667, 0.667)
Dy (0.667, 0.333, 0.333)
Co (0.000, 0.000, 0.500)
Co (0.333, 0.667, 0.167)
Co (0.667, 0.333, 0.833)
Si (0.000, 0.000, 0.208)
Si (0.000, 0.000, 0.792)
Si (0.333, 0.667, 0.459)
Si (0.333, 0.667, 0.875)
Si (0.667, 0.333, 0.125)
Si (0.667, 0.333, 0.541)